Record 1
VASP calculation (PBE) on a relaxed NaTl6Hg5 crystal.

abc: 5.049 8.643 9.288
angles: 117.74 104.40 90.00
Fractional coordinates of all 12 atoms:
Na (0.000, 0.000, 0.000)
Tl (0.170, 0.432, 0.339)
Tl (0.170, 0.906, 0.339)
Tl (0.500, 0.276, 0.000)
Tl (0.500, 0.724, 0.000)
Tl (0.830, 0.094, 0.661)
Tl (0.830, 0.568, 0.661)
Hg (0.354, 0.855, 0.710)
Hg (0.681, 0.680, 0.361)
Hg (0.000, 0.500, 0.000)
Hg (0.319, 0.320, 0.639)
Hg (0.646, 0.145, 0.290)

- Mass density: 10.9 g/cm³
- Calculated formation energy: -50 meV per atom
- Total magnetic moment: 0.000 μB per cell

Record 2
VASP calculation (PBE) on a relaxed LiNd2HoTl4 crystal.

abc: 5.314 5.314 9.503
angles: 73.76 73.76 60.00
Fractional coordinates of all 8 atoms:
Li (0.500, 0.500, 0.500)
Nd (0.756, 0.756, 0.733)
Nd (0.244, 0.244, 0.267)
Ho (0.000, 0.000, 0.000)
Tl (0.375, 0.375, 0.875)
Tl (0.874, 0.874, 0.377)
Tl (0.126, 0.126, 0.623)
Tl (0.625, 0.625, 0.125)

- Mass density: 9.6 g/cm³
- Calculated formation energy: -342 meV per atom
- Total magnetic moment: 0.000 μB per cell

Record 3
VASP calculation (PBE) on a relaxed GaBiPb crystal.

abc: 5.174 5.174 7.166
angles: 90.00 90.00 113.74
Fractional coordinates of all 6 atoms:
Ga (0.820, 0.180, 0.450)
Ga (0.180, 0.820, 0.950)
Pb (0.468, 0.532, 0.666)
Pb (0.532, 0.468, 0.166)
Bi (0.836, 0.164, 0.871)
Bi (0.164, 0.836, 0.371)

- Mass density: 9.2 g/cm³
- Calculated formation energy: 61 meV per atom
- Total magnetic moment: 0.000 μB per cell

Record 4
VASP calculation (PBE) on a relaxed La2PmPd crystal.

abc: 6.636 7.326 10.340
angles: 90.00 90.00 90.00
Fractional coordinates of all 16 atoms:
La (0.167, 0.679, 0.060)
La (0.333, 0.179, 0.440)
La (0.833, 0.321, 0.560)
La (0.667, 0.821, 0.940)
La (0.833, 0.321, 0.940)
La (0.667, 0.821, 0.560)
La (0.167, 0.679, 0.440)
La (0.333, 0.179, 0.060)
Pm (0.650, 0.526, 0.250)
Pm (0.850, 0.026, 0.250)
Pm (0.350, 0.474, 0.750)
Pm (0.150, 0.974, 0.750)
Pd (0.078, 0.380, 0.250)
Pd (0.422, 0.880, 0.250)
Pd (0.922, 0.620, 0.750)
Pd (0.578, 0.120, 0.750)

- Mass density: 7.0 g/cm³
- Calculated formation energy: -413 meV per atom
- Total magnetic moment: 0.000 μB per cell

Record 5
VASP calculation (PBE) on a relaxed La6CuHg2 crystal.

abc: 3.924 9.041 9.040
angles: 120.00 90.00 90.00
Fractional coordinates of all 9 atoms:
La (0.500, 0.594, 0.000)
La (0.500, 0.407, 0.407)
La (0.500, 0.000, 0.593)
La (0.000, 0.246, 0.000)
La (0.000, 0.754, 0.754)
La (0.000, 0.000, 0.246)
Cu (0.500, 0.000, 0.000)
Hg (0.000, 0.333, 0.667)
Hg (0.000, 0.667, 0.333)

- Mass density: 7.8 g/cm³
- Calculated formation energy: -263 meV per atom
- Total magnetic moment: 0.000 μB per cell

Record 6
VASP calculation (PBE) on a relaxed CaHo2InN crystal.

abc: 4.868 4.812 4.812
angles: 90.00 90.00 90.00
Fractional coordinates of all 5 atoms:
Ca (0.500, 0.000, 0.000)
Ho (0.000, 0.000, 0.500)
Ho (0.000, 0.500, 0.000)
In (0.500, 0.500, 0.500)
N (0.000, 0.000, 0.000)

- Mass density: 7.3 g/cm³
- DFT total energy: -26.834 eV/cell
- Total magnetic moment: 0.000 μB per cell

Record 7
VASP calculation (PBE) on a relaxed CaAc2Ru crystal.

abc: 4.228 4.228 10.273
angles: 78.13 78.13 60.00
Fractional coordinates of all 4 atoms:
Ru (0.000, 0.000, 0.000)
Ac (0.280, 0.280, 0.161)
Ac (0.720, 0.720, 0.839)
Ca (0.500, 0.500, 0.500)

- Mass density: 6.4 g/cm³
- Calculated formation energy: -90 meV per atom
- Total magnetic moment: 0.000 μB per cell

Record 8
VASP calculation (PBE) on a relaxed Na3Ce3PmS8 crystal.

abc: 8.253 8.253 8.173
angles: 120.34 90.00 120.00
Site moments in Bohr magnetons follow the coordinates.
Fractional coordinates of all 15 atoms:
Na (0.000, 0.000, 0.000)  0.00
Na (0.000, 0.500, 0.000)  0.00
Na (0.500, 0.500, 0.000)  0.00
Ce (0.500, 0.000, 0.500)  0.68
Ce (0.500, 0.500, 0.500)  0.68
Ce (0.000, 0.500, 0.500)  0.68
Pm (0.000, 0.000, 0.500)  0.00
S (0.256, 0.512, 0.268)  -0.02
S (0.744, 0.488, 0.732)  -0.02
S (0.758, 0.517, 0.276)  -0.01
S (0.242, 0.483, 0.724)  -0.01
S (0.758, 0.018, 0.276)  -0.01
S (0.242, 0.982, 0.724)  -0.01
S (0.260, 0.018, 0.276)  -0.01
S (0.740, 0.982, 0.724)  -0.01

- Mass density: 3.8 g/cm³
- DFT total energy: -86.034 eV/cell
- Total magnetic moment: 2.014 μB per cell